# 1
A plane-wave DFT calculation with PBE was carried out for a geometry-optimized LiLaYCr structure.

Calculated values
The total energy is -5.52 eV per atom.

```
LiLaYCr
1.0
5.230 0.000 0.000
2.615 4.529 0.000
2.615 1.510 4.270
Y Cr La Li
1 1 1 1
Direct
0.250 0.250 0.250
0.500 0.500 0.500
0.750 0.750 0.750
0.000 0.000 0.000
```



# 2
A plane-wave DFT calculation with PBE was carried out for a geometry-optimized LaMg6Cr structure.

Calculated values
The total energy is -2.86 eV per atom.

```
LaMg6Cr
1.0
-3.283 5.946 -1.560
-1.666 -4.595 4.967
2.971 2.511 3.320
Cr Mg La
1 6 1
Direct
0.358 0.642 0.500
0.312 0.181 0.500
0.206 0.794 0.000
0.177 0.326 0.000
0.819 0.688 0.500
0.674 0.823 0.000
0.645 0.355 0.000
0.809 0.191 0.500
```



# 3
A plane-wave DFT calculation with PBE was carried out for a geometry-optimized La2MgCr structure.

Calculated values
The total energy is -4.79 eV per atom.

```
La2MgCr
1.0
8.592 0.000 0.000
0.000 8.592 0.000
4.296 4.296 3.157
La Mg Cr
4 2 2
Direct
0.875 0.916 0.750
0.666 0.125 0.250
0.084 0.625 0.250
0.375 0.334 0.750
0.250 0.750 0.500
0.500 0.500 0.000
0.000 0.000 0.000
0.750 0.250 0.500
```